CsYGe | PBE-GGA | relaxed

Calculated values
ΔE to the lowest computed polymorph: 11.3 kJ/mol of atoms
DFT formation energy: -0.255 eV per atom
V: 46.92 Å³ per atom

abc: 8.434 4.989 13.533
angles: 90.00 98.62 90.00
Space group Cm (No. 8)
Unique sites:
Cs: 0.000 0.000 0.000 x2
Cs: 0.234 0.500 0.356 x2
Y: 0.124 0.000 0.602 x2
Y: 0.494 0.000 0.751 x2
Ge: 0.324 0.500 0.731 x2
Ge: 0.444 0.000 0.534 x2